Compound: AgAsSe2N
Source: Alexandria via LeMat-Bulk
Functional: GGA-PBE
Structure: relaxed

abc: 5.272 5.272 3.557
angles: 90.00 90.00 90.00
Fractional positions:
Se  0.000  0.500  0.000
Se  0.500  0.000  0.000
As  0.000  0.000  0.000
Ag  0.500  0.500  0.500
N  0.000  0.000  0.500

Computed properties:
As for the uncorrected formation energy: 79 kJ per mole of atoms. For the excess energy over the best structure of this formula in the dataset, the calculation gives 0 meV/atom.


Compound: NbCdGa2C
Source: Alexandria via LeMat-Bulk
Functional: GGA-PBE
Structure: relaxed

abc: 4.343 4.322 4.343
angles: 90.00 90.00 90.00
Fractional positions:
Ga  0.000  0.000  0.500
Ga  0.500  0.000  0.000
C  0.000  0.000  0.000
Nb  0.000  0.500  0.000
Cd  0.500  0.500  0.500

Computed properties:
For the excess energy over the best structure of this formula in the dataset, the calculation gives 0 meV/atom.


Compound: SrCa2InH
Source: Alexandria via LeMat-Bulk
Functional: GGA-PBE
Structure: relaxed

abc: 5.077 5.077 5.205
angles: 90.00 90.00 90.00
Fractional positions:
In  0.500  0.500  0.500
Sr  0.000  0.000  0.500
Ca  0.000  0.500  0.000
Ca  0.500  0.000  0.000
H  0.000  0.000  0.000


Compound: CdNiAu2
Source: Alexandria via LeMat-Bulk
Functional: GGA-PBE
Structure: relaxed

abc: 3.904 3.904 10.042
angles: 78.79 78.79 90.00
Fractional positions:
Au  0.617  0.125  0.250
Au  0.133  0.625  0.250
Au  0.375  0.383  0.750
Au  0.875  0.867  0.750
Cd  0.000  0.000  0.000
Cd  0.750  0.250  0.500
Ni  0.250  0.750  0.500
Ni  0.500  0.500  0.000


Compound: Ce3HoP4
Source: Alexandria via LeMat-Bulk
Functional: GGA-PBE
Structure: relaxed

abc: 4.067 7.038 7.038
angles: 109.49 90.00 90.00
Fractional positions:
Ce  0.000  0.500  0.000
Ce  0.500  0.500  0.500
Ce  0.000  0.000  0.500
P  0.500  0.248  0.752
P  0.000  0.753  0.753
P  0.500  0.752  0.248
P  0.000  0.247  0.247
Ho  0.500  0.000  0.000

Computed properties:
For the excess energy over the best structure of this formula in the dataset, the calculation gives 0 meV/atom.


Compound: SiGe2Au2
Source: Alexandria via LeMat-Bulk
Functional: GGA-PBE
Structure: relaxed

abc: 7.844 7.844 3.119
angles: 90.00 90.00 90.00
Fractional positions:
Au  0.828  0.672  0.000
Au  0.328  0.828  0.000
Au  0.672  0.172  0.000
Au  0.172  0.328  0.000
Si  0.000  0.000  0.000
Si  0.500  0.500  0.000
Ge  0.369  0.131  0.500
Ge  0.131  0.631  0.500
Ge  0.631  0.869  0.500
Ge  0.869  0.369  0.500

Computed properties:
As for the uncorrected formation energy: 28 kJ per mole of atoms. For the excess energy over the best structure of this formula in the dataset, the calculation gives 0 meV/atom.


Compound: Tm4NiSn
Source: Alexandria via LeMat-Bulk
Functional: GGA-PBE
Structure: relaxed

abc: 6.727 6.977 7.211
angles: 90.00 93.42 90.00
Fractional positions:
Tm  0.683  0.668  0.639
Tm  0.112  0.358  0.812
Tm  0.817  0.168  0.361
Tm  0.183  0.832  0.639
Tm  0.888  0.642  0.188
Tm  0.317  0.332  0.361
Tm  0.388  0.858  0.188
Tm  0.612  0.142  0.812
Ni  0.500  0.000  0.500
Ni  0.000  0.500  0.500
Sn  0.500  0.500  0.000
Sn  0.000  0.000  0.000

Computed properties:
For the excess energy over the best structure of this formula in the dataset, the calculation gives 161 meV/atom.


Compound: CaIr3Au
Source: Alexandria via LeMat-Bulk
Functional: GGA-PBE
Structure: relaxed

abc: 4.764 4.764 4.764
angles: 90.00 90.00 90.00
Fractional positions:
Ir  0.000  0.000  0.500
Ir  0.500  0.000  0.000
Ir  0.000  0.500  0.000
Ca  0.000  0.000  0.000
Au  0.500  0.500  0.500

Computed properties:
For the excess energy over the best structure of this formula in the dataset, the calculation gives 876 meV/atom.


Compound: Nd4As2PBr
Source: Alexandria via LeMat-Bulk
Functional: GGA-PBE
Structure: relaxed

abc: 4.238 7.320 7.425
angles: 70.79 90.00 90.00
Fractional positions:
Br  0.500  0.500  0.000
As  0.500  0.000  0.500
As  0.000  0.000  0.000
Nd  0.500  0.752  0.264
Nd  0.000  0.235  0.272
Nd  0.000  0.765  0.728
Nd  0.500  0.248  0.736
P  0.000  0.500  0.500

Computed properties:
As for the uncorrected formation energy: -145 kJ per mole of atoms.


Compound: Ba2AlB
Source: Alexandria via LeMat-Bulk
Functional: GGA-PBE
Structure: relaxed

abc: 12.038 12.038 8.755
angles: 46.57 46.57 90.00
Fractional positions:
Al  0.750  0.250  0.500
Al  0.000  0.000  0.000
Ba  0.375  0.565  0.750
Ba  0.875  0.685  0.750
Ba  0.435  0.125  0.250
Ba  0.315  0.625  0.250
B  0.500  0.500  0.000
B  0.250  0.750  0.500

Computed properties:
For the excess energy over the best structure of this formula in the dataset, the calculation gives 0 meV/atom.


Compound: V3CoW
Source: Alexandria via LeMat-Bulk
Functional: GGA-PBE
Structure: relaxed

abc: 4.255 4.255 4.255
angles: 90.00 90.00 90.00
Fractional positions:
W  0.500  0.500  0.500
V  0.000  0.000  0.500
V  0.000  0.500  0.000
V  0.500  0.000  0.000
Co  0.000  0.000  0.000

Computed properties:
For the excess energy over the best structure of this formula in the dataset, the calculation gives 648 meV/atom.


Compound: BaTb2Cd3
Source: Alexandria via LeMat-Bulk
Functional: GGA-PBE
Structure: relaxed

abc: 3.858 3.858 12.011
angles: 90.00 90.00 90.00
Fractional positions:
Cd  0.000  0.000  0.296
Cd  0.000  0.000  0.704
Cd  0.000  0.000  0.000
Tb  0.500  0.500  0.848
Tb  0.500  0.500  0.152
Ba  0.500  0.500  0.500


no.,mass density (g cm⁻³),uncorrected energy (eV/cell)
1,5.96,-18.71
2,7.27,-23.94
3,3.51,-13.46
4,12.75,-25.05
5,6.20,-56.21
6,9.82,-39.49
7,8.39,-58.54
8,12.50,-20.10
9,6.40,-47.48
10,3.50,-26.83
11,8.53,-42.81
12,7.36,-15.72